Here is PmSmGaPb after structural relaxation from the Alexandria database. Energies are from PBE.

```
PmSmGaPb
1.0
-0.7877 -1.9484 4.9496
-1.7062 -5.0567 0.6589
3.3320 -3.7247 1.9850
Sm Pb Pm Ga
1 1 1 1
Direct
0.0000 0.0000 0.0000
0.2500 0.2500 0.2500
0.5000 0.5000 0.5000
0.7500 0.7500 0.7500
```

Computed properties:
Space-group type   F-43m
ΔH_f (0 K)   -0.464 eV per atom
Spin magnetization   0.000 μB per cell